[1]
A geometry-optimized NdPaBeN3 structure, computed with PBE-GGA.

```
data_NdPaBeN3
_chemical_formula_sum 'Nd2 Pa2 Be2 N6'
_space_group_name_H-M_alt 'P 1 21/m 1'
_space_group_IT_number 11
_cell_length_a 6.965
_cell_length_b 3.392
_cell_length_c 7.261
_cell_angle_alpha 90.00
_cell_angle_beta 99.82
_cell_angle_gamma 90.00
loop_
_space_group_symop_operation_xyz
'x,y,z'
'-x,-y,-z'
'-x,y+1/2,-z'
'x,-y+1/2,z'
loop_
_atom_site_label
_atom_site_fract_x
_atom_site_fract_y
_atom_site_fract_z
Nd1 0.207 0.250 0.167
Pa1 0.191 0.250 0.656
Be1 0.404 0.750 0.928
N1 0.137 0.750 0.420
N2 0.156 0.750 0.877
N3 0.491 0.250 0.845
```

Results
Uncorrected energy   -8.51 eV per atom


[2]
A geometry-optimized NdPa2BeN5 structure, computed with PBE-GGA.

```
data_NdPa2BeN5
_chemical_formula_sum 'Nd4 Pa8 Be4 N20'
_space_group_name_H-M_alt 'C m c 21'
_space_group_IT_number 36
_cell_length_a 3.324
_cell_length_b 16.508
_cell_length_c 8.940
_cell_angle_alpha 90.00
_cell_angle_beta 90.00
_cell_angle_gamma 90.00
loop_
_space_group_symop_operation_xyz
'x,y,z'
'-x,-y,z+1/2'
'-x,y,z'
'x,-y,z+1/2'
'x+1/2,y+1/2,z'
'-x+1/2,-y+1/2,z+1/2'
'-x+1/2,y+1/2,z'
'x+1/2,-y+1/2,z+1/2'
loop_
_atom_site_label
_atom_site_fract_x
_atom_site_fract_y
_atom_site_fract_z
Nd1 0.000 0.217 0.000
Pa1 0.000 0.091 0.690
Pa2 0.000 0.099 0.302
Be1 0.000 0.454 0.468
N1 0.000 0.032 0.050
N2 0.000 0.323 0.704
N3 0.000 0.353 0.351
N4 0.000 0.367 0.027
N5 0.000 0.493 0.796
```

Results
Uncorrected energy   -8.91 eV per atom


Which value of uncorrected energy does entry 1 give? -8.51 eV per atom